(1)
# Li2NiPO4F, relaxed, DFT GGA+U
data_Li2NiPO4F
_chemical_formula_sum 'Li4 Ni2 P2 O8 F2'
_cell_length_a 5.336
_cell_length_b 5.339
_cell_length_c 7.386
_cell_angle_alpha 108.49
_cell_angle_beta 108.51
_cell_angle_gamma 94.39
_symmetry_space_group_name_H-M 'P 1'
_symmetry_Int_Tables_number 1
loop_
_symmetry_equiv_pos_as_xyz
'x,y,z'
loop_
_atom_site_label
_atom_site_type_symbol
_atom_site_fract_x
_atom_site_fract_y
_atom_site_fract_z
Li1 Li 0.099 0.524 0.082
Li2 Li 0.528 0.218 0.863
Li3 Li 0.481 0.909 0.458
Li4 Li 0.783 0.474 0.676
Ni1 Ni 0.006 0.002 0.022
Ni2 Ni 0.001 0.997 0.515
P1 P 0.653 0.351 0.269
P2 P 0.353 0.649 0.769
O1 O 0.318 0.848 0.652
O2 O 0.692 0.167 0.397
O3 O 0.298 0.347 0.633
O4 O 0.153 0.683 0.885
O5 O 0.839 0.312 0.142
O6 O 0.360 0.283 0.111
O7 O 0.718 0.645 0.424
O8 O 0.655 0.708 0.907
F1 F 0.864 0.137 0.768
F2 F 0.127 0.878 0.269
# - N(E_F) (states/eV per cell) = 0.0
# - M_tot (Bohr magnetons per cell) = 3.998
# - space-group type = P1, No. 1
# - total energy (eV/atom) = -5.93

(2)
# LiNiSO4F, relaxed, DFT GGA+U
data_LiNiSO4F
_chemical_formula_sum 'Li2 Ni2 S2 O8 F2'
_cell_length_a 5.189
_cell_length_b 5.437
_cell_length_c 7.250
_cell_angle_alpha 107.33
_cell_angle_beta 107.77
_cell_angle_gamma 97.81
_symmetry_space_group_name_H-M 'P 1'
_symmetry_Int_Tables_number 1
loop_
_symmetry_equiv_pos_as_xyz
'x,y,z'
loop_
_atom_site_label
_atom_site_type_symbol
_atom_site_fract_x
_atom_site_fract_y
_atom_site_fract_z
Li1 Li 0.272 0.633 0.789
Li2 Li 0.728 0.367 0.211
Ni1 Ni 0.000 0.000 0.500
Ni2 Ni 0.000 0.000 0.000
S1 S 0.326 0.642 0.249
S2 S 0.674 0.358 0.751
O1 O 0.606 0.758 0.413
O2 O 0.394 0.242 0.587
O3 O 0.103 0.656 0.340
O4 O 0.897 0.344 0.660
O5 O 0.316 0.358 0.141
O6 O 0.684 0.642 0.859
O7 O 0.280 0.779 0.096
O8 O 0.720 0.221 0.904
F1 F 0.117 0.912 0.755
F2 F 0.883 0.088 0.245
# - N(E_F) (states/eV per cell) = 0.0
# - M_tot (Bohr magnetons per cell) = 3.909
# - space-group type = P-1, No. 2
# - total energy (eV/atom) = -5.52

(3)
# Li2PaNiF8, relaxed, DFT GGA+U
data_Li2PaNiF8
_chemical_formula_sum 'Li2 Pa1 Ni1 F8'
_cell_length_a 4.794
_cell_length_b 4.807
_cell_length_c 6.812
_cell_angle_alpha 87.78
_cell_angle_beta 88.08
_cell_angle_gamma 89.18
_symmetry_space_group_name_H-M 'P 1'
_symmetry_Int_Tables_number 1
loop_
_symmetry_equiv_pos_as_xyz
'x,y,z'
loop_
_atom_site_label
_atom_site_type_symbol
_atom_site_fract_x
_atom_site_fract_y
_atom_site_fract_z
Li1 Li 0.517 0.518 0.808
Li2 Li 0.483 0.482 0.192
Pa1 Pa 0.000 0.000 0.500
Ni1 Ni 0.000 0.000 0.000
F1 F 0.192 0.788 0.239
F2 F 0.708 0.716 0.006
F3 F 0.798 0.201 0.236
F4 F 0.808 0.212 0.761
F5 F 0.292 0.284 0.994
F6 F 0.202 0.799 0.764
F7 F 0.677 0.693 0.531
F8 F 0.323 0.307 0.469
# - M_tot (Bohr magnetons per cell) = 3.000
# - space-group type = P-1, No. 2
# - total energy (eV/atom) = -5.63